No. 1
Material: PmNd4Tl5
Method: DFT, PBE
State: relaxed

The structure belongs to space group P4/mmm (No. 123); the cell edges are 3.8904, 3.8904 and 19.5993 Å and the angles 90.00°, 90.00° and 90.00°. The inequivalent atoms are Pm at (0.0000, 0.0000, 0.0000), Nd at (0.0000, 0.0000, 0.1991), Nd at (0.0000, 0.0000, 0.3998), Tl at (0.5000, 0.5000, 0.0985), Tl at (0.5000, 0.5000, 0.2994) and Tl at (0.5000, 0.5000, 0.5000).

As for the formation energy from the elements: -376.9 kJ/mol of formula units. As for the total magnetization: 0.00 μB/f.u.


No. 2
Material: Hf4ZrPb
Method: DFT, PBE
State: relaxed

The structure belongs to space group C2/m (No. 12); the cell edges are 5.5314, 9.4791 and 5.5211 Å and the angles 90.00°, 109.77° and 90.00°. The inequivalent atoms are Hf at (0.0000, 0.1627, 0.0000), Hf at (0.0000, 0.3329, 0.5000), Zr at (0.0000, 0.5000, 0.0000) and Pb at (0.0000, 0.0000, 0.5000).

As for the formation energy from the elements: 8.5 kJ/mol of formula units. As for the total magnetization: 0.00 μB/f.u.


No. 3
Material: K4Ge9O20
Method: DFT, PBE
State: relaxed

The structure belongs to space group I4_1/a (No. 88, origin choice 2); the cell edges are 16.0074, 16.0074 and 7.6396 Å and the angles 90.00°, 90.00° and 90.00°. The inequivalent atoms are K at (0.0857, 0.0571, 0.1557), Ge at (0.0000, 0.2500, 0.1250), Ge at (0.0234, 0.3425, 0.7590), Ge at (0.1416, 0.0577, 0.6821), O at (0.0206, 0.3285, 0.5063), O at (0.0284, 0.3392, 0.0019), O at (0.0386, 0.0570, 0.7632), O at (0.1266, 0.4020, 0.7518) and O at (0.1732, 0.4544, 0.3767).

As for the total magnetization: 0.34 μB/f.u. The calculation puts the formation energy from raw total energies at -1.76 eV/atom.


No. 4
Material: Sr2Be2Cu
Method: DFT, PBE
State: relaxed

The structure belongs to space group I4/mmm (No. 139); the cell edges are 3.4306, 3.4306 and 19.3354 Å and the angles 90.00°, 90.00° and 90.00°. The inequivalent atoms are Sr at (0.0000, 0.0000, 0.1037), Be at (0.0000, 0.5000, 0.2500) and Cu at (0.0000, 0.0000, 0.5000).

As for the formation energy from the elements: 245.1 kJ/mol of formula units. As for the total magnetization: 0.00 μB/f.u. For the distance to the lowest polymorph of the same formula, the calculation gives 0.0 kJ/mol of atoms.


No. 5
Material: BaLaBe
Method: DFT, PBE
State: relaxed

The structure belongs to space group P-6m2 (No. 187); the cell edges are 4.8781, 4.8781 and 5.0579 Å and the angles 90.00°, 90.00° and 120.00°. The inequivalent atoms are Ba at (0.0000, 0.0000, 0.0000), La at (0.3333, 0.6667, 0.5000) and Be at (0.6667, 0.3333, 0.5000).

As for the formation energy from the elements: 132.2 kJ/mol of formula units. As for the total magnetization: 0.00 μB/f.u. For the distance to the lowest polymorph of the same formula, the calculation gives 15.6 kJ/mol of atoms.


Number 1: total energy -3.9560 eV/atom. Number 2: total energy -8.6637 eV/atom. Number 3: total energy -6.1578 eV/atom. Number 4: total energy -2.4743 eV/atom. Number 5: total energy -3.0688 eV/atom.